No. 1
Density functional theory data (PBE) for crystalline Na3SrTl at its relaxed geometry.

Summary:
Its density of states at the Fermi level is 0.604 states/eV per atom. For the formation energy, the calculation gives -72 meV/atom.

The structure in CIF format:
```
data_Na3SrTl
_chemical_formula_sum 'Na24 Sr8 Tl8'
_symmetry_space_group_name_H-M 'C 1 2/c 1'
_symmetry_Int_Tables_number 15
_cell_length_a 19.966
_cell_length_b 10.886
_cell_length_c 7.024
_cell_angle_alpha 90.00
_cell_angle_beta 100.22
_cell_angle_gamma 90.00
loop_
_symmetry_equiv_pos_as_xyz
'x,y,z'
'-x,-y,-z'
'-x,y,-z+1/2'
'x,-y,z+1/2'
'x+1/2,y+1/2,z'
'-x+1/2,-y+1/2,-z'
'-x+1/2,y+1/2,-z+1/2'
'x+1/2,-y+1/2,z+1/2'
loop_
_atom_site_label
_atom_site_type_symbol
_atom_site_fract_x
_atom_site_fract_y
_atom_site_fract_z
Na1 Na 0.168 0.168 0.069
Na2 Na 0.172 0.162 0.587
Na3 Na 0.188 0.496 0.603
Sr1 Sr 0.000 0.077 0.250
Sr2 Sr 0.000 0.355 0.750
Tl1 Tl 0.081 0.353 0.293
```


No. 2
Density functional theory data (PBE) for crystalline Ba2CaRu at its relaxed geometry.

Summary:
Its density of states at the Fermi level is 0.766 states/eV per atom. For the formation energy, the calculation gives 302 meV/atom.

The structure in CIF format:
```
data_Ba2CaRu
_chemical_formula_sum 'Ba4 Ca2 Ru2'
_symmetry_space_group_name_H-M 'C 1 2/m 1'
_symmetry_Int_Tables_number 12
_cell_length_a 17.967
_cell_length_b 3.655
_cell_length_c 5.112
_cell_angle_alpha 90.00
_cell_angle_beta 106.47
_cell_angle_gamma 90.00
loop_
_symmetry_equiv_pos_as_xyz
'x,y,z'
'-x,-y,-z'
'-x,y,-z'
'x,-y,z'
'x+1/2,y+1/2,z'
'-x+1/2,-y+1/2,-z'
'-x+1/2,y+1/2,-z'
'x+1/2,-y+1/2,z'
loop_
_atom_site_label
_atom_site_type_symbol
_atom_site_fract_x
_atom_site_fract_y
_atom_site_fract_z
Ba1 Ba 0.147 0.000 0.147
Ca1 Ca 0.000 0.000 0.500
Ru1 Ru 0.000 0.500 0.000
```


No. 3
Density functional theory data (PBE) for crystalline Ac2Pr3Mg3 at its relaxed geometry.

Summary:
Its density of states at the Fermi level is 1.309 states/eV per atom. For the formation energy, the calculation gives -24 meV/atom.

The structure in CIF format:
```
data_Ac2Pr3Mg3
_chemical_formula_sum 'Ac4 Pr6 Mg6'
_symmetry_space_group_name_H-M 'I m m m'
_symmetry_Int_Tables_number 71
_symmetry_space_group_name_Hall '-I 2 2'
_cell_length_a 4.041
_cell_length_b 5.740
_cell_length_c 23.596
_cell_angle_alpha 90.00
_cell_angle_beta 90.00
_cell_angle_gamma 90.00
loop_
_atom_site_label
_atom_site_type_symbol
_atom_site_fract_x
_atom_site_fract_y
_atom_site_fract_z
Ac1 Ac 0.000 0.000 0.231
Pr1 Pr 0.000 0.000 0.000
Pr2 Pr 0.000 0.500 0.119
Mg1 Mg 0.000 0.000 0.500
Mg2 Mg 0.000 0.500 0.389
```


No. 4
Density functional theory data (PBE) for crystalline K2TiPbO5 at its relaxed geometry.

Summary:
As for the formation energy without anion corrections: -1.882 eV per atom.

The structure in CIF format:
```
data_K2TiPbO5
_chemical_formula_sum 'K8 Ti4 Pb4 O20'
_symmetry_space_group_name_H-M 'C m c 21'
_symmetry_Int_Tables_number 36
_cell_length_a 3.404
_cell_length_b 13.609
_cell_length_c 12.823
_cell_angle_alpha 90.00
_cell_angle_beta 90.00
_cell_angle_gamma 90.00
loop_
_symmetry_equiv_pos_as_xyz
'x,y,z'
'-x,-y,z+1/2'
'-x,y,z'
'x,-y,z+1/2'
'x+1/2,y+1/2,z'
'-x+1/2,-y+1/2,z+1/2'
'-x+1/2,y+1/2,z'
'x+1/2,-y+1/2,z+1/2'
loop_
_atom_site_label
_atom_site_type_symbol
_atom_site_fract_x
_atom_site_fract_y
_atom_site_fract_z
K1 K 0.000 0.081 0.000
K2 K 0.000 0.160 0.610
Ti1 Ti 0.000 0.489 0.767
Pb1 Pb 0.000 0.221 0.340
O1 O 0.000 0.048 0.329
O2 O 0.000 0.275 0.954
O3 O 0.000 0.316 0.737
O4 O 0.000 0.383 0.317
O5 O 0.000 0.493 0.132
```


No. 5
Density functional theory data (PBE) for crystalline PrHo5Er7 at its relaxed geometry.

Summary:
Its density of states at the Fermi level is 1.879 states/eV per atom. For the formation energy, the calculation gives 252 meV/atom.

The structure in CIF format:
```
data_PrHo5Er7
_chemical_formula_sum 'Pr2 Ho10 Er14'
_symmetry_space_group_name_H-M 'I m m 2'
_symmetry_Int_Tables_number 44
_cell_length_a 6.653
_cell_length_b 11.018
_cell_length_c 11.496
_cell_angle_alpha 90.00
_cell_angle_beta 90.00
_cell_angle_gamma 90.00
loop_
_symmetry_equiv_pos_as_xyz
'x,y,z'
'-x,-y,z'
'-x,y,z'
'x,-y,z'
'x+1/2,y+1/2,z+1/2'
'-x+1/2,-y+1/2,z+1/2'
'-x+1/2,y+1/2,z+1/2'
'x+1/2,-y+1/2,z+1/2'
loop_
_atom_site_label
_atom_site_type_symbol
_atom_site_fract_x
_atom_site_fract_y
_atom_site_fract_z
Pr1 Pr 0.000 0.000 0.000
Ho1 Ho 0.000 0.500 0.803
Ho2 Ho 0.234 0.229 0.799
Er1 Er 0.000 0.000 0.303
Er2 Er 0.000 0.000 0.609
Er3 Er 0.000 0.330 0.051
Er4 Er 0.000 0.331 0.550
Er5 Er 0.000 0.500 0.297
```


No. 6
Density functional theory data (PBE) for crystalline SrCe2InN4 at its relaxed geometry.

Summary:
Its density of states at the Fermi level is 0.756 states/eV per atom. As for the formation energy without anion corrections: -0.867 eV per atom.

The structure in CIF format:
```
data_SrCe2InN4
_chemical_formula_sum 'Sr4 Ce8 In4 N16'
_symmetry_space_group_name_H-M 'C m c m'
_symmetry_Int_Tables_number 63
_symmetry_space_group_name_Hall '-C 2c 2'
_cell_length_a 3.640
_cell_length_b 12.226
_cell_length_c 12.354
_cell_angle_alpha 90.00
_cell_angle_beta 90.00
_cell_angle_gamma 90.00
loop_
_atom_site_label
_atom_site_type_symbol
_atom_site_fract_x
_atom_site_fract_y
_atom_site_fract_z
Sr1 Sr 0.000 0.103 0.250
Ce1 Ce 0.000 0.371 0.041
In1 In 0.000 0.158 0.750
N1 N 0.000 0.000 0.000
N2 N 0.000 0.258 0.607
N3 N 0.000 0.444 0.250
```